Entry 1:
Compound: HfCuOs3
Source: the Alexandria database
Functional: GGA-PBEsol
Structure: relaxed

Output
electronic total energy = -8.881 eV/atom
SG = Pm-3m
M_tot = 0.00 μB/cell
formation enthalpy at 0 K = 1416 meV per atom

a b c (Å): 4.386 4.386 4.386
angles (deg): 90.00 90.00 90.00
Positions (direct):
Hf: 0.000 0.000 0.000
Cu: 0.500 0.500 0.500
Os: 0.000 0.500 0.500
Os: 0.500 0.000 0.500
Os: 0.500 0.500 0.000

Entry 2:
Compound: BaIn2ReO
Source: the Alexandria database
Functional: GGA-PBEsol
Structure: relaxed

Output
electronic total energy = -5.046 eV/atom
ΔE_f (raw) = 1.47 eV per formula unit
SG = P4/mmm
M_tot = 1.83 μB/cell

a b c (Å): 4.636 4.636 5.005
angles (deg): 90.00 90.00 90.00
Positions (direct):
Ba: 0.000 0.000 0.000
In: 0.000 0.500 0.500
In: 0.500 0.000 0.500
Re: 0.500 0.500 0.000
O: 0.000 0.000 0.500

Entry 3:
Compound: TaAsSeF2
Source: the Alexandria database
Functional: GGA-PBEsol
Structure: relaxed

Output
electronic total energy = -5.363 eV/atom
ΔE_f (raw) = -1.45 eV per formula unit
SG = P4/mmm
M_tot = 2.86 μB/cell

a b c (Å): 3.907 3.907 6.192
angles (deg): 90.00 90.00 90.00
Positions (direct):
Ta: 0.000 0.000 0.000
As: 0.500 0.500 0.500
Se: 0.500 0.500 0.000
F: 0.000 0.500 0.500
F: 0.500 0.000 0.500

Entry 4:
Compound: ZrPdO2
Source: the Alexandria database
Functional: GGA-PBEsol
Structure: relaxed

Output
electronic total energy = -7.251 eV/atom
ΔE_f (raw) = -3.46 eV per formula unit
SG = R-3m
M_tot = 0.00 μB/cell

a b c (Å): 3.426 3.426 17.025
angles (deg): 90.00 90.00 120.00
Positions (direct):
Zr: 0.000 0.000 0.000
Zr: 0.333 0.667 0.667
Zr: 0.667 0.333 0.333
Pd: 0.000 0.000 0.500
Pd: 0.333 0.667 0.167
Pd: 0.667 0.333 0.833
O: 0.000 0.000 0.119
O: 0.000 0.000 0.881
O: 0.333 0.667 0.547
O: 0.333 0.667 0.786
O: 0.667 0.333 0.214
O: 0.667 0.333 0.453

Entry 5:
Compound: InSb3Pb4O13
Source: the Alexandria database
Functional: GGA-PBEsol
Structure: relaxed

Output
electronic total energy = -6.231 eV/atom
ΔE_f (raw) = -29.97 eV per formula unit
SG = R3m
M_tot = 0.00 μB/cell

a b c (Å): 7.493 7.493 7.493
angles (deg): 60.33 60.33 60.33
Positions (direct):
In: 0.000 0.000 0.000
Sb: 0.000 0.000 0.501
Sb: 0.000 0.501 0.000
Sb: 0.501 0.000 0.000
Pb: 0.001 0.500 0.500
Pb: 0.497 0.497 0.497
Pb: 0.500 0.001 0.500
Pb: 0.500 0.500 0.001
O: 0.078 0.683 0.683
O: 0.080 0.080 0.657
O: 0.080 0.657 0.080
O: 0.319 0.319 0.921
O: 0.319 0.921 0.319
O: 0.347 0.917 0.917
O: 0.621 0.621 0.621
O: 0.657 0.080 0.080
O: 0.683 0.078 0.683
O: 0.683 0.683 0.078
O: 0.917 0.347 0.917
O: 0.917 0.917 0.347
O: 0.921 0.319 0.319

Entry 6:
Compound: Ga2GePb2
Source: the Alexandria database
Functional: GGA-PBEsol
Structure: relaxed

Output
electronic total energy = -3.824 eV/atom
SG = P4/mbm
M_tot = 0.00 μB/cell
formation enthalpy at 0 K = 99 meV per atom

a b c (Å): 6.843 6.843 4.970
angles (deg): 90.00 90.00 90.00
Positions (direct):
Ga: 0.133 0.367 0.000
Ga: 0.367 0.867 0.000
Ga: 0.633 0.133 0.000
Ga: 0.867 0.633 0.000
Ge: 0.000 0.000 0.000
Ge: 0.500 0.500 0.000
Pb: 0.187 0.687 0.500
Pb: 0.313 0.187 0.500
Pb: 0.687 0.813 0.500
Pb: 0.813 0.313 0.500

Entry 7:
Compound: AsPbSe2I
Source: the Alexandria database
Functional: GGA-PBEsol
Structure: relaxed

Output
electronic total energy = -3.053 eV/atom
ΔE_f (raw) = 3.31 eV per formula unit
SG = P4/mmm
M_tot = 0.00 μB/cell

a b c (Å): 5.354 5.354 5.235
angles (deg): 90.00 90.00 90.00
Positions (direct):
As: 0.000 0.000 0.000
Pb: 0.500 0.500 0.000
Se: 0.000 0.500 0.500
Se: 0.500 0.000 0.500
I: 0.000 0.000 0.500

Entry 8:
Compound: LiLaY2
Source: the Alexandria database
Functional: GGA-PBEsol
Structure: relaxed

Output
electronic total energy = -5.096 eV/atom
SG = Pm
M_tot = 0.00 μB/cell
formation enthalpy at 0 K = 143 meV per atom

a b c (Å): 3.489 5.316 6.613
angles (deg): 90.00 105.32 90.00
Positions (direct):
Li: 0.000 0.000 0.000
La: 0.400 0.500 0.780
Y: 0.145 0.500 0.254
Y: 0.751 0.000 0.472

Entry 9:
Compound: Tb5Re2O12
Source: the Alexandria database
Functional: GGA-PBEsol
Structure: relaxed

Output
electronic total energy = -8.987 eV/atom
ΔE_f (raw) = -56.05 eV per formula unit
SG = C2/m
M_tot = 0.00 μB/cell

a b c (Å): 6.803 6.803 7.506
angles (deg): 106.28 106.28 48.69
Positions (direct):
Tb: 0.000 0.000 0.000
Tb: 0.304 0.304 0.142
Tb: 0.314 0.314 0.674
Tb: 0.686 0.686 0.326
Tb: 0.696 0.696 0.858
Re: 0.215 0.785 0.500
Re: 0.785 0.215 0.500
O: 0.001 0.001 0.294
O: 0.087 0.583 0.416
O: 0.098 0.593 0.926
O: 0.407 0.902 0.074
O: 0.417 0.913 0.584
O: 0.499 0.499 0.324
O: 0.501 0.501 0.676
O: 0.583 0.087 0.416
O: 0.593 0.098 0.926
O: 0.902 0.407 0.074
O: 0.913 0.417 0.584
O: 0.999 0.999 0.706

Entry 10:
Compound: Ca2InAs
Source: the Alexandria database
Functional: GGA-PBEsol
Structure: relaxed

Output
electronic total energy = -3.727 eV/atom
SG = Imm2
M_tot = 0.00 μB/cell
formation enthalpy at 0 K = -638 meV per atom

a b c (Å): 3.845 4.739 11.420
angles (deg): 90.00 90.00 90.00
Positions (direct):
Ca: 0.000 0.000 0.000
Ca: 0.000 0.500 0.214
Ca: 0.500 0.000 0.714
Ca: 0.500 0.500 0.500
In: 0.000 0.500 0.798
In: 0.500 0.000 0.298
As: 0.000 0.000 0.489
As: 0.500 0.500 0.989

Q: Which of these has the lowest electronic total energy?
A: Tb5Re2O12

Q: What is the electronic total energy in the sixth record?
A: -3.824 eV/atom

Q: Look up the M_tot of the third one.
A: 2.86 μB/cell